# Ta4Nb2S3N3 GGA-PBE optimized geometry
# total energy = -9.504 eV per atom
# V = 639.3 Å³ per cell
# magnetic moment = 0.0001 μB per atom
# density = 10.9 g/cm3
data_Ta4Nb2S3N3
_chemical_formula_sum 'Ta16 Nb8 S12 N12'
_space_group_name_H-M_alt 'C 1 2/c 1'
_space_group_IT_number 15
_cell_length_a 9.5825
_cell_length_b 5.5326
_cell_length_c 12.5007
_cell_angle_alpha 90.00
_cell_angle_beta 105.28
_cell_angle_gamma 90.00
loop_
_space_group_symop_operation_xyz
'x,y,z'
'-x,-y,-z'
'-x,y,-z+1/2'
'x,-y,z+1/2'
'x+1/2,y+1/2,z'
'-x+1/2,-y+1/2,-z'
'-x+1/2,y+1/2,-z+1/2'
'x+1/2,-y+1/2,z+1/2'
loop_
_atom_site_label
_atom_site_type_symbol
_atom_site_fract_x
_atom_site_fract_y
_atom_site_fract_z
Ta1 Ta 0.1174 0.1189 0.1040
Ta2 Ta 0.2319 0.0686 0.3967
Nb1 Nb 0.0354 0.4285 0.8967
S1 S 0.0000 0.0804 0.7500
S2 S 0.1703 0.4175 0.2589
N1 N 0.0927 0.2215 0.4998
N2 N 0.2500 0.2500 0.0000

---

# Nb4TlSN2 GGA-PBE optimized geometry
# total energy = -8.565 eV per atom
# V = 120.1 Å³ per cell
# magnetic moment = 0.0005 μB per atom
# density = 8.8 g/cm3
data_Nb4TlSN2
_chemical_formula_sum 'Nb4 Tl1 S1 N2'
_space_group_name_H-M_alt 'P -6 m 2'
_space_group_IT_number 187
_space_group_name_Hall 'P -6 2'
_cell_length_a 3.3087
_cell_length_b 3.3087
_cell_length_c 12.6711
_cell_angle_alpha 90.00
_cell_angle_beta 90.00
_cell_angle_gamma 120.00
loop_
_atom_site_label
_atom_site_type_symbol
_atom_site_fract_x
_atom_site_fract_y
_atom_site_fract_z
Nb1 Nb 0.0000 0.0000 0.1393
Nb2 Nb 0.6667 0.3333 0.3094
Tl1 Tl 0.0000 0.0000 0.5000
S1 S 0.6667 0.3333 0.0000
N1 N 0.3333 0.6667 0.2308